[1]
Material: NdPu2Pa
Method: DFT, GGA-PBE
State: optimized geometry

POSCAR file:
```
NdPu2Pa
1.0
-0.165 -3.774 -2.599
4.809 0.161 -0.538
0.534 -2.745 3.952
Pa Nd Pu
1 1 2
Direct
0.500 0.000 0.000
0.500 0.500 0.500
0.000 0.000 0.500
0.000 0.500 0.000
```

The calculation puts the calculated total energy at -10.435 eV per atom. Its density of states at the Fermi level is 12.65 states/eV/f.u. The value obtained for the size of the total moment is 2.794 μB/atom. The value obtained for the energy above the most stable polymorph in this dataset is 165 meV per atom.



[2]
Material: Tl2ZnMo2
Method: DFT, GGA-PBE
State: optimized geometry

POSCAR file:
```
Tl2ZnMo2
1.0
-8.033 2.579 -0.532
-0.543 -3.292 -7.767
-0.917 -2.614 1.172
Zn Tl Mo
2 4 4
Direct
0.000 0.000 0.000
0.500 0.500 0.000
0.306 0.806 0.000
0.806 0.694 0.000
0.694 0.194 0.000
0.194 0.306 0.000
0.097 0.597 0.500
0.597 0.903 0.500
0.903 0.403 0.500
0.403 0.097 0.500
```

The calculation puts the calculated total energy at -4.722 eV per atom. Its density of states at the Fermi level is 5.73 states/eV/f.u. The value obtained for the size of the total moment is 0.000 μB/atom. The value obtained for the energy above the most stable polymorph in this dataset is 113 meV per atom.



[3]
Material: CaNiRu
Method: DFT, GGA-PBE
State: optimized geometry

POSCAR file:
```
CaNiRu
1.0
4.349 0.000 0.000
2.175 3.767 0.000
2.175 1.256 3.551
Ru Ca Ni
1 1 1
Direct
0.000 0.000 0.000
0.500 0.500 0.500
0.750 0.750 0.750
```

The calculation puts the calculated total energy at -5.128 eV per atom. Its density of states at the Fermi level is 2.57 states/eV/f.u. The value obtained for the size of the total moment is 0.680 μB/atom. The value obtained for the energy above the most stable polymorph in this dataset is 619 meV per atom.



[4]
Material: AcPmAu4
Method: DFT, GGA-PBE
State: optimized geometry

POSCAR file:
```
AcPmAu4
1.0
4.560 -1.262 0.869
-1.475 4.485 0.924
1.207 1.187 8.737
Ac Pm Au
1 1 4
Direct
0.501 0.497 0.998
0.001 0.997 0.498
0.561 0.890 0.272
0.441 0.104 0.725
0.108 0.437 0.725
0.894 0.557 0.272
```

The calculation puts the calculated total energy at -4.461 eV per atom. Its density of states at the Fermi level is 5.27 states/eV/f.u. The value obtained for the size of the total moment is 0.000 μB/atom. The value obtained for the energy above the most stable polymorph in this dataset is 0 meV per atom.



[5]
Material: Ta3PtCl
Method: DFT, GGA-PBE
State: optimized geometry

POSCAR file:
```
Ta3PtCl
1.0
4.481 0.000 0.000
0.000 4.481 0.000
0.000 0.000 4.481
Cl Pt Ta
1 1 3
Direct
0.000 0.000 0.000
0.500 0.500 0.500
0.000 0.500 0.000
0.000 0.000 0.500
0.500 0.000 0.000
```

The calculation puts the calculated total energy at -7.927 eV per atom. The value obtained for the formation energy without anion corrections is 3.81 eV per formula unit. Its density of states at the Fermi level is 6.32 states/eV/f.u. The value obtained for the size of the total moment is 0.000 μB/atom. The value obtained for the energy above the most stable polymorph in this dataset is 0 meV per atom.



[6]
Material: Ce2ErHf
Method: DFT, GGA-PBE
State: optimized geometry

POSCAR file:
```
Ce2ErHf
1.0
-2.263 1.445 -1.906
0.762 -2.051 -2.460
-6.885 -6.475 3.266
Hf Ce Er
1 2 1
Direct
0.500 0.500 0.000
0.000 0.000 0.764
0.000 0.000 0.236
0.500 0.500 0.500
```

The calculation puts the calculated total energy at -6.461 eV per atom. Its density of states at the Fermi level is 9.83 states/eV/f.u. The value obtained for the size of the total moment is 0.074 μB/atom. The value obtained for the energy above the most stable polymorph in this dataset is 0 meV per atom.



[7]
Material: BaZn2SnRu
Method: DFT, GGA-PBE
State: optimized geometry

POSCAR file:
```
BaZn2SnRu
1.0
5.006 0.000 0.000
0.000 5.006 0.000
0.000 0.000 5.060
Ru Zn Ba Sn
1 2 1 1
Direct
0.000 0.000 0.000
0.000 0.500 0.000
0.500 0.000 0.000
0.500 0.500 0.500
0.000 0.000 0.500
```

The calculation puts the calculated total energy at -3.801 eV per atom. Its density of states at the Fermi level is 2.52 states/eV/f.u. The value obtained for the size of the total moment is 0.000 μB/atom.



[8]
Material: BaPuHgGe
Method: DFT, GGA-PBE
State: optimized geometry

POSCAR file:
```
BaPuHgGe
1.0
-3.390 0.104 -4.386
-2.104 -4.728 -1.990
-5.393 -1.120 0.637
Ba Ge Hg Pu
1 1 1 1
Direct
0.500 0.500 0.500
0.250 0.250 0.250
0.750 0.750 0.750
0.000 0.000 0.000
```

The calculation puts the calculated total energy at -5.533 eV per atom. Its density of states at the Fermi level is 12.86 states/eV/f.u. The value obtained for the size of the total moment is 1.501 μB/atom.



[9]
Material: Pa2Ga2Re
Method: DFT, GGA-PBE
State: optimized geometry

POSCAR file:
```
Pa2Ga2Re
1.0
-2.911 -1.598 3.475
2.932 -1.233 5.213
-0.340 6.143 5.862
Pa Ga Re
4 4 2
Direct
0.119 0.146 0.617
0.857 0.270 0.016
0.881 0.854 0.383
0.143 0.730 0.984
0.600 0.454 0.345
0.452 0.934 0.163
0.400 0.546 0.655
0.548 0.066 0.837
0.203 0.315 0.278
0.797 0.685 0.722
```

The calculation puts the calculated total energy at -7.760 eV per atom. Its density of states at the Fermi level is 5.31 states/eV/f.u. The value obtained for the size of the total moment is 0.000 μB/atom.



[10]
Material: DyCdSn
Method: DFT, GGA-PBE
State: optimized geometry

POSCAR file:
```
DyCdSn
1.0
-0.310 -2.543 -2.376
1.529 -3.326 3.360
-4.841 1.020 -0.461
Cd Sn Dy
1 1 1
Direct
0.167 0.000 0.000
0.167 0.333 0.667
0.667 0.667 0.333
```

The calculation puts the calculated total energy at -3.601 eV per atom. Its density of states at the Fermi level is 1.43 states/eV/f.u. The value obtained for the size of the total moment is 0.000 μB/atom.



[11]
Material: KYRe2
Method: DFT, GGA-PBE
State: optimized geometry

POSCAR file:
```
KYRe2
1.0
-0.421 0.033 -3.863
3.837 -0.447 -0.422
-0.868 -7.484 0.032
K Re Y
1 2 1
Direct
0.500 0.500 0.750
0.000 0.000 0.101
0.000 0.000 0.399
0.500 0.500 0.250
```

The calculation puts the calculated total energy at -7.086 eV per atom. Its density of states at the Fermi level is 2.76 states/eV/f.u. The value obtained for the size of the total moment is 0.000 μB/atom. The value obtained for the energy above the most stable polymorph in this dataset is 506 meV per atom.



[12]
Material: VAuC3
Method: DFT, GGA-PBE
State: optimized geometry

POSCAR file:
```
VAuC3
1.0
4.081 0.000 0.000
0.000 4.081 0.000
0.000 0.000 4.081
C Au V
3 1 1
Direct
0.000 0.500 0.000
0.000 0.000 0.500
0.500 0.000 0.000
0.000 0.000 0.000
0.500 0.500 0.500
```

The calculation puts the calculated total energy at -4.978 eV per atom. Its density of states at the Fermi level is 5.69 states/eV/f.u. The value obtained for the size of the total moment is 0.568 μB/atom. The value obtained for the energy above the most stable polymorph in this dataset is 1063 meV per atom.



[13]
Material: Nd2Er6Hg
Method: DFT, GGA-PBE
State: optimized geometry

POSCAR file:
```
Nd2Er6Hg
1.0
-5.421 0.064 0.632
0.702 -6.985 6.718
0.931 7.106 7.300
Nd Er Hg
4 12 2
Direct
0.000 0.309 0.753
0.500 0.808 0.747
0.500 0.192 0.253
0.000 0.691 0.247
0.000 0.019 0.180
0.000 0.681 0.573
0.000 0.638 0.896
0.500 0.138 0.604
0.500 0.181 0.927
0.500 0.519 0.320
0.000 0.981 0.820
0.000 0.319 0.427
0.000 0.362 0.104
0.500 0.862 0.396
0.500 0.819 0.073
0.500 0.481 0.680
0.500 0.500 0.000
0.000 0.000 0.500
```

The calculation puts the calculated total energy at -4.146 eV per atom. Its density of states at the Fermi level is 13.60 states/eV/f.u. The value obtained for the size of the total moment is 0.000 μB/atom.



[14]
Material: K3Ce2TiSe6
Method: DFT, GGA-PBE
State: optimized geometry

POSCAR file:
```
K3Ce2TiSe6
1.0
-2.056 6.763 1.605
0.372 -5.013 5.222
7.903 1.331 -0.972
K Ce Ti Se
3 2 1 6
Direct
0.170 0.830 0.500
0.830 0.170 0.500
0.500 0.500 0.500
0.334 0.666 0.000
0.666 0.334 0.000
0.000 0.000 0.000
0.932 0.621 0.797
0.757 0.757 0.203
0.068 0.379 0.203
0.621 0.932 0.797
0.243 0.243 0.797
0.379 0.068 0.203
```

The calculation puts the calculated total energy at -5.159 eV per atom. The value obtained for the formation energy without anion corrections is -17.94 eV per formula unit. Its density of states at the Fermi level is 16.16 states/eV/f.u. The value obtained for the size of the total moment is 0.250 μB/atom.



[15]
Material: Sr2CaAu2
Method: DFT, GGA-PBE
State: optimized geometry

POSCAR file:
```
Sr2CaAu2
1.0
8.276 0.000 0.000
0.000 8.276 0.000
0.000 0.000 4.549
Sr Ca Au
4 2 4
Direct
0.164 0.664 0.500
0.664 0.836 0.500
0.836 0.336 0.500
0.336 0.164 0.500
0.000 0.000 0.000
0.500 0.500 0.000
0.365 0.865 0.000
0.865 0.635 0.000
0.635 0.135 0.000
0.135 0.365 0.000
```

The calculation puts the calculated total energy at -3.068 eV per atom. Its density of states at the Fermi level is 4.02 states/eV/f.u. The value obtained for the size of the total moment is 0.000 μB/atom. The value obtained for the energy above the most stable polymorph in this dataset is 0 meV per atom.



[16]
Material: BaHfNi2
Method: DFT, GGA-PBE
State: optimized geometry

POSCAR file:
```
BaHfNi2
1.0
-2.985 -5.867 3.428
5.016 0.624 5.435
-1.161 -0.484 6.195
Ni Hf Ba
4 2 2
Direct
0.690 0.125 0.250
0.060 0.625 0.250
0.375 0.310 0.750
0.875 0.940 0.750
0.000 0.000 0.000
0.750 0.250 0.500
0.500 0.500 0.000
0.250 0.750 0.500
```

The calculation puts the calculated total energy at -5.460 eV per atom. Its density of states at the Fermi level is 3.10 states/eV/f.u. The value obtained for the size of the total moment is 0.000 μB/atom. The value obtained for the energy above the most stable polymorph in this dataset is 7 meV per atom.



[17]
Material: HgPbBr2
Method: DFT, GGA-PBE
State: optimized geometry

POSCAR file:
```
HgPbBr2
1.0
-3.285 -0.930 2.848
-0.428 -4.027 -1.809
6.257 -3.407 6.104
Pb Hg Br
1 1 2
Direct
0.500 0.500 0.932
0.000 0.000 0.463
0.000 0.000 0.893
0.500 0.500 0.212
```

The calculation puts the calculated total energy at -2.372 eV per atom. The value obtained for the formation energy without anion corrections is -2.13 eV per formula unit. The value obtained for the size of the total moment is 0.000 μB/atom. The value obtained for the energy above the most stable polymorph in this dataset is 121 meV per atom.



[18]
Material: Sc2TlCu
Method: DFT, GGA-PBE
State: optimized geometry

POSCAR file:
```
Sc2TlCu
1.0
-2.078 -2.713 4.807
-4.052 -3.679 2.198
1.535 -4.488 0.500
Cu Sc Tl
1 2 1
Direct
0.249 0.249 0.251
0.969 0.969 0.031
0.749 0.749 0.751
0.533 0.533 0.467
```

The calculation puts the calculated total energy at -4.931 eV per atom. Its density of states at the Fermi level is 3.87 states/eV/f.u. The value obtained for the size of the total moment is 0.172 μB/atom.



[19]
Material: Ba2AlI
Method: DFT, GGA-PBE
State: optimized geometry

POSCAR file:
```
Ba2AlI
1.0
-1.077 -1.045 4.505
5.132 -0.327 1.151
-2.421 13.172 2.475
Ba Al I
4 2 2
Direct
0.750 0.664 0.328
0.250 0.336 0.672
0.750 0.941 0.883
0.250 0.059 0.117
0.250 0.470 0.941
0.750 0.530 0.059
0.250 0.196 0.392
0.750 0.804 0.608
```

The calculation puts the calculated total energy at -3.015 eV per atom. The value obtained for the formation energy without anion corrections is -2.92 eV per formula unit. Its density of states at the Fermi level is 3.27 states/eV/f.u. The value obtained for the size of the total moment is 0.000 μB/atom. The value obtained for the energy above the most stable polymorph in this dataset is 0 meV per atom.



[20]
Material: RbPm2Sc
Method: DFT, GGA-PBE
State: optimized geometry

POSCAR file:
```
RbPm2Sc
1.0
-2.058 1.181 2.729
0.307 -1.499 3.276
8.659 8.694 5.162
Sc Rb Pm
1 1 2
Direct
0.500 0.500 0.500
0.000 0.000 0.000
0.099 0.099 0.703
0.901 0.901 0.297
```

The calculation puts the calculated total energy at -3.906 eV per atom. Its density of states at the Fermi level is 4.42 states/eV/f.u. The value obtained for the size of the total moment is 0.000 μB/atom.



[21]
Material: NaTl7In3
Method: DFT, GGA-PBE
State: optimized geometry

POSCAR file:
```
NaTl7In3
1.0
5.361 -0.376 -2.719
-3.544 7.688 0.151
0.165 0.594 8.444
Na Tl In
1 7 3
Direct
0.500 0.500 0.500
0.229 0.183 0.183
0.323 0.044 0.599
0.677 0.401 0.956
0.323 0.599 0.044
0.000 0.500 0.500
0.677 0.956 0.401
0.771 0.817 0.817
0.000 0.768 0.232
0.500 0.000 0.000
0.000 0.232 0.768
```

The calculation puts the calculated total energy at -2.310 eV per atom. Its density of states at the Fermi level is 5.43 states/eV/f.u. The value obtained for the size of the total moment is 0.000 μB/atom. The value obtained for the energy above the most stable polymorph in this dataset is 30 meV per atom.



[22]
Material: Tb12TcBi6
Method: DFT, GGA-PBE
State: optimized geometry

POSCAR file:
```
Tb12TcBi6
1.0
8.693 -0.059 -0.070
-1.376 8.583 -0.070
-1.376 -1.603 8.433
Tb Tc Bi
12 1 6
Direct
0.798 0.586 0.458
0.458 0.798 0.586
0.586 0.458 0.798
0.202 0.414 0.542
0.542 0.202 0.414
0.414 0.542 0.202
0.056 0.998 0.311
0.002 0.689 0.944
0.689 0.944 0.002
0.944 0.002 0.689
0.998 0.311 0.056
0.311 0.056 0.998
0.000 0.000 0.000
0.681 0.883 0.348
0.652 0.319 0.117
0.117 0.652 0.319
0.319 0.117 0.652
0.348 0.681 0.883
0.883 0.348 0.681
```

The calculation puts the calculated total energy at -5.117 eV per atom. Its density of states at the Fermi level is 12.26 states/eV/f.u. The value obtained for the size of the total moment is 0.000 μB/atom.



[23]
Material: Tb2YTm12
Method: DFT, GGA-PBE
State: optimized geometry

POSCAR file:
```
Tb2YTm12
1.0
-4.156 -1.332 -4.908
2.600 0.538 -6.007
1.185 -24.233 1.594
Tb Y Tm
4 2 24
Direct
0.544 0.956 0.282
0.044 0.456 0.281
0.956 0.544 0.718
0.456 0.044 0.719
0.500 0.000 0.000
0.000 0.500 0.000
0.397 0.603 0.808
0.897 0.103 0.808
0.855 0.645 0.863
0.050 0.948 0.933
0.008 0.992 0.330
0.450 0.552 0.067
0.832 0.169 0.555
0.508 0.492 0.330
0.354 0.146 0.864
0.645 0.855 0.137
0.315 0.185 0.576
0.668 0.331 0.445
0.992 0.008 0.670
0.185 0.315 0.424
0.146 0.354 0.136
0.685 0.815 0.424
0.815 0.685 0.576
0.103 0.897 0.192
0.331 0.668 0.555
0.492 0.508 0.670
0.552 0.450 0.933
0.603 0.397 0.192
0.169 0.832 0.445
0.948 0.050 0.067
```

The calculation puts the calculated total energy at -4.515 eV per atom. Its density of states at the Fermi level is 26.87 states/eV/f.u. The value obtained for the size of the total moment is 0.000 μB/atom.



[24]
Material: Ta2TeIr2
Method: DFT, GGA-PBE
State: optimized geometry

POSCAR file:
```
Ta2TeIr2
1.0
7.957 0.000 0.000
0.000 7.957 0.000
0.000 0.000 2.920
Ir Te Ta
4 2 4
Direct
0.362 0.862 0.000
0.862 0.638 0.000
0.638 0.138 0.000
0.138 0.362 0.000
0.000 0.000 0.000
0.500 0.500 0.000
0.150 0.650 0.500
0.650 0.850 0.500
0.850 0.350 0.500
0.350 0.150 0.500
```

The calculation puts the calculated total energy at -9.127 eV per atom. The value obtained for the formation energy without anion corrections is -1.07 eV per formula unit. Its density of states at the Fermi level is 3.13 states/eV/f.u. The value obtained for the size of the total moment is 0.000 μB/atom.